[1]
# RbGaCl2 (PBE-GGA, relaxed)
# - E above lowest polymorph: 76 meV/atom
# - Crystal system: cubic
data_RbGaCl2
_space_group_name_H-M_alt 'F m -3 m'
_space_group_IT_number 225
_space_group_name_Hall '-F 4 2 3'
_cell_length_a 7.687
_cell_length_b 7.687
_cell_length_c 7.687
_cell_angle_alpha 90.00
_cell_angle_beta 90.00
_cell_angle_gamma 90.00
loop_
_atom_site_label
_atom_site_type_symbol
_atom_site_fract_x
_atom_site_fract_y
_atom_site_fract_z
Rb1 Rb 0.000 0.000 0.000
Ga1 Ga 0.000 0.000 0.500
Cl1 Cl 0.250 0.250 0.250

---

[2]
# Pu2W2N7 (PBE-GGA, relaxed)
# - DFT total energy: -10.9132 eV per atom
# - Crystal system: monoclinic
data_Pu2W2N7
_space_group_name_H-M_alt 'C 1 2/m 1'
_space_group_IT_number 12
_cell_length_a 6.783
_cell_length_b 9.575
_cell_length_c 5.279
_cell_angle_alpha 90.00
_cell_angle_beta 99.84
_cell_angle_gamma 90.00
loop_
_space_group_symop_operation_xyz
'x,y,z'
'-x,-y,-z'
'-x,y,-z'
'x,-y,z'
'x+1/2,y+1/2,z'
'-x+1/2,-y+1/2,-z'
'-x+1/2,y+1/2,-z'
'x+1/2,-y+1/2,z'
loop_
_atom_site_label
_atom_site_type_symbol
_atom_site_fract_x
_atom_site_fract_y
_atom_site_fract_z
Pu1 Pu 0.000 0.186 0.000
W1 W 0.250 0.000 0.601
N1 N 0.000 0.500 0.500
N2 N 0.079 0.000 0.267
N3 N 0.235 0.333 0.205

---

Number 1: density 3.306 g cm⁻³. Number 2: density 9.376 g cm⁻³.